Compound: SmAg2AuO4
Source: Alexandria
Functional: PBE
Structure: relaxed

It has space group I-4 (No. 82), with a = 6.064 Å, b = 6.064 Å, c = 6.491 Å, α = 90.00°, β = 90.00° and γ = 90.00°. The distinct sites, in fractional coordinates, are Sm at (0.000, 0.000, 0.000), Ag at (0.000, 0.000, 0.500), Ag at (0.000, 0.500, 0.250), Au at (0.000, 0.500, 0.750) and O at (0.182, 0.786, 0.761).

The value obtained for the uncorrected formation energy is -0.9987 eV per atom.

---

Compound: Gd2HoSb
Source: Alexandria
Functional: PBE
Structure: relaxed

It has space group P4/mmm (No. 123), with a = 4.788 Å, b = 4.788 Å, c = 4.858 Å, α = 90.00°, β = 90.00° and γ = 90.00°. The distinct sites, in fractional coordinates, are Gd at (0.000, 0.500, 0.000), Ho at (0.000, 0.000, 0.500) and Sb at (0.500, 0.500, 0.500).

As for the polymorph energy (0 for the lowest one): 4.0 meV per atom. The value obtained for the uncorrected formation energy is -0.5107 eV per atom.

---

Compound: Ba3ReTe
Source: Alexandria
Functional: PBE
Structure: relaxed

It has space group Pm-3m (No. 221), with a = 5.874 Å, b = 5.874 Å, c = 5.874 Å, α = 90.00°, β = 90.00° and γ = 90.00°. The distinct sites, in fractional coordinates, are Ba at (0.000, 0.000, 0.500), Re at (0.000, 0.000, 0.000) and Te at (0.500, 0.500, 0.500).

As for the polymorph energy (0 for the lowest one): 0.0 meV per atom. The value obtained for the uncorrected formation energy is 0.0599 eV per atom.

---

Compound: Ac3Pb2I
Source: Alexandria
Functional: PBE
Structure: relaxed

It has space group P4/mmm (No. 123), with a = 3.962 Å, b = 3.962 Å, c = 13.632 Å, α = 90.00°, β = 90.00° and γ = 90.00°. The distinct sites, in fractional coordinates, are Ac at (0.000, 0.000, 0.000), Ac at (0.000, 0.000, 0.329), Pb at (0.500, 0.500, 0.168) and I at (0.500, 0.500, 0.500).

As for the polymorph energy (0 for the lowest one): 0.0 meV per atom. The value obtained for the uncorrected formation energy is -0.6311 eV per atom.

---

Compound: DyEr2Te
Source: Alexandria
Functional: PBE
Structure: relaxed

It has space group Cmcm (No. 63), with a = 3.912 Å, b = 12.042 Å, c = 9.780 Å, α = 90.00°, β = 90.00° and γ = 90.00°. The distinct sites, in fractional coordinates, are Dy at (0.000, 0.056, 0.250), Er at (0.000, 0.365, 0.036) and Te at (0.000, 0.235, 0.750).

As for the polymorph energy (0 for the lowest one): 0.0 meV per atom. The value obtained for the uncorrected formation energy is -0.6353 eV per atom.

---

Compound: ScMo3
Source: Alexandria
Functional: PBE
Structure: relaxed

It has space group Cmmm (No. 65), with a = 5.304 Å, b = 9.473 Å, c = 2.707 Å, α = 90.00°, β = 90.00° and γ = 90.00°. The distinct sites, in fractional coordinates, are Sc at (0.000, 0.000, 0.000), Mo at (0.000, 0.500, 0.000) and Mo at (0.250, 0.250, 0.500).

The value obtained for the calculated formation energy is 0.272 eV/atom.

---

Compound: Cd3GaAu
Source: Alexandria
Functional: PBE
Structure: relaxed

It has space group C2/m (No. 12), with a = 10.035 Å, b = 8.202 Å, c = 7.039 Å, α = 90.00°, β = 125.60° and γ = 90.00°. The distinct sites, in fractional coordinates, are Cd at (0.055, 0.000, 0.250), Cd at (0.210, 0.187, 0.720), Ga at (0.095, 0.500, 0.398) and Au at (0.218, 0.500, 0.885).

As for the polymorph energy (0 for the lowest one): 59.9 meV per atom. The value obtained for the calculated formation energy is -0.015 eV/atom.

---

Compound: Y5PuIr6
Source: Alexandria
Functional: PBE
Structure: relaxed

It has space group P2/m (No. 10), with a = 4.772 Å, b = 7.121 Å, c = 7.538 Å, α = 90.00°, β = 108.07° and γ = 90.00°. The distinct sites, in fractional coordinates, are Y at (0.000, 0.000, 0.000), Y at (0.333, 0.000, 0.666), Y at (0.333, 0.500, 0.665), Pu at (0.000, 0.500, 0.000), Ir at (0.165, 0.251, 0.329) and Ir at (0.500, 0.253, 0.000).

The value obtained for the calculated formation energy is -0.702 eV/atom.

---

Compound: Ag2RuBr
Source: Alexandria
Functional: PBE
Structure: relaxed

It has space group Cmm2 (No. 35), with a = 2.963 Å, b = 5.284 Å, c = 9.756 Å, α = 90.00°, β = 90.00° and γ = 90.00°. The distinct sites, in fractional coordinates, are Ag at (0.000, 0.000, 0.000), Ag at (0.000, 0.500, 0.249), Ru at (0.000, 0.500, 0.759) and Br at (0.000, 0.000, 0.554).

As for the polymorph energy (0 for the lowest one): 85.4 meV per atom. The value obtained for the uncorrected formation energy is 0.5573 eV per atom.

---

Compound: Zr6Ga2FeH10
Source: Alexandria
Functional: PBE
Structure: relaxed

It has space group P-62c (No. 190), with a = 8.0551 Å, b = 8.0551 Å, c = 7.1613 Å, α = 90.00°, β = 90.00° and γ = 120.00°. The distinct sites, in fractional coordinates, are Zr at (0.0000, 0.7390, 0.0000), Zr at (0.0461, 0.4250, 0.2500), Ga at (0.3333, 0.6667, 0.5495), Fe at (0.0000, 0.0000, 0.2500), H at (0.0000, 0.0000, 0.0000), H at (0.0000, 0.2812, 0.0000), H at (0.1168, 0.7091, 0.2500) and H at (0.1207, 0.2413, 0.7500).

---

Compound: La2HoAg3
Source: Alexandria
Functional: PBE
Structure: relaxed

It has space group P4/mmm (No. 123), with a = 3.715 Å, b = 3.715 Å, c = 11.497 Å, α = 90.00°, β = 90.00° and γ = 90.00°. The distinct sites, in fractional coordinates, are La at (0.000, 0.000, 0.173), Ho at (0.000, 0.000, 0.500), Ag at (0.500, 0.500, 0.000) and Ag at (0.500, 0.500, 0.354).

The value obtained for the calculated formation energy is -0.281 eV/atom.

---

Compound: Ga2CoCl8
Source: Alexandria
Functional: PBE
Structure: relaxed

It has space group C2/c (No. 15), with a = 17.839 Å, b = 8.403 Å, c = 11.772 Å, α = 90.00°, β = 128.10° and γ = 90.00°. The distinct sites, in fractional coordinates, are Ga at (0.083, 0.236, 0.031), Co at (0.000, 0.006, 0.750), Cl at (0.063, 0.217, 0.682), Cl at (0.079, 0.210, 0.217), Cl at (0.141, 0.016, 0.003) and Cl at (0.157, 0.451, 0.059).

The value obtained for the uncorrected formation energy is -0.9555 eV per atom.

---

Compound: Cs3Rb3CdI8
Source: Alexandria
Functional: PBE
Structure: relaxed

It has space group R-3m (No. 166, hexagonal axes), with a = 10.5654 Å, b = 10.5654 Å, c = 26.5864 Å, α = 90.00°, β = 90.00° and γ = 120.00°. The distinct sites, in fractional coordinates, are Cs at (0.0000, 0.5000, 0.0000), Rb at (0.0000, 0.5000, 0.5000), Cd at (0.0000, 0.0000, 0.5000), I at (0.0000, 0.0000, 0.2454) and I at (0.0548, 0.5274, 0.2327).

The value obtained for the uncorrected formation energy is -1.3204 eV per atom.

---

Compound: Ca2La3Sn3
Source: Alexandria
Functional: PBE
Structure: relaxed

It has space group P6_3/mcm (No. 193), with a = 9.4778 Å, b = 9.4778 Å, c = 6.8607 Å, α = 90.00°, β = 90.00° and γ = 120.00°. The distinct sites, in fractional coordinates, are Ca at (0.3333, 0.6667, 0.0000), La at (0.0000, 0.2658, 0.2500) and Sn at (0.0000, 0.3829, 0.7500).

The value obtained for the calculated formation energy is -0.715 eV/atom.

---

Compound: ZnGa5Ag6
Source: Alexandria
Functional: PBE
Structure: relaxed

It has space group C2/m (No. 12), with a = 9.239 Å, b = 8.643 Å, c = 5.437 Å, α = 90.00°, β = 103.41° and γ = 90.00°. The distinct sites, in fractional coordinates, are Zn at (0.000, 0.000, 0.000), Ga at (0.000, 0.169, 0.500), Ga at (0.000, 0.336, 0.000), Ga at (0.000, 0.500, 0.500), Ag at (0.246, 0.000, 0.754) and Ag at (0.247, 0.166, 0.250).

The value obtained for the calculated formation energy is 0.010 eV/atom.

---

Compound: Pm4Ir2F
Source: Alexandria
Functional: PBE
Structure: relaxed

It has space group C2/m (No. 12), with a = 17.133 Å, b = 4.373 Å, c = 12.171 Å, α = 90.00°, β = 119.84° and γ = 90.00°. The distinct sites, in fractional coordinates, are Pm at (0.041, 0.000, 0.255), Pm at (0.080, 0.500, 0.652), Pm at (0.202, 0.000, 0.071), Pm at (0.225, 0.000, 0.601), Ir at (0.116, 0.500, 0.433), Ir at (0.171, 0.000, 0.811) and F at (0.085, 0.000, 0.109).

The value obtained for the uncorrected formation energy is -1.2131 eV per atom.

---

Compound: TbAl3Au
Source: Alexandria
Functional: PBE
Structure: relaxed

It has space group I4mm (No. 107), with a = 4.206 Å, b = 4.206 Å, c = 11.175 Å, α = 90.00°, β = 90.00° and γ = 90.00°. The distinct sites, in fractional coordinates, are Tb at (0.000, 0.000, 0.000), Al at (0.000, 0.000, 0.408), Al at (0.000, 0.500, 0.261) and Au at (0.000, 0.000, 0.629).

As for the polymorph energy (0 for the lowest one): 0.0 meV per atom. The value obtained for the calculated formation energy is -0.592 eV/atom.

---

Compound: Cd3FeHg
Source: Alexandria
Functional: PBE
Structure: relaxed

It has space group Pm-3m (No. 221), with a = 5.135 Å, b = 5.135 Å, c = 5.135 Å, α = 90.00°, β = 90.00° and γ = 90.00°. The distinct sites, in fractional coordinates, are Cd at (0.000, 0.000, 0.500), Fe at (0.000, 0.000, 0.000) and Hg at (0.500, 0.500, 0.500).

The value obtained for the calculated formation energy is 0.487 eV/atom.

---

Compound: Cd2Fe2B
Source: Alexandria
Functional: PBE
Structure: relaxed

It has space group P4/mbm (No. 127), with a = 5.479 Å, b = 5.479 Å, c = 4.635 Å, α = 90.00°, β = 90.00° and γ = 90.00°. The distinct sites, in fractional coordinates, are Cd at (0.173, 0.327, 0.000), Fe at (0.157, 0.657, 0.500) and B at (0.000, 0.000, 0.500).

The value obtained for the calculated formation energy is 0.251 eV/atom.

---

Compound: MgMnSi2
Source: Alexandria
Functional: PBE
Structure: relaxed

It has space group P4/mmm (No. 123), with a = 2.912 Å, b = 2.912 Å, c = 6.660 Å, α = 90.00°, β = 90.00° and γ = 90.00°. The distinct sites, in fractional coordinates, are Mg at (0.000, 0.000, 0.000), Mn at (0.000, 0.000, 0.500) and Si at (0.500, 0.500, 0.308).

The value obtained for the uncorrected formation energy is -0.1067 eV per atom.

---

Quick rundown of DFT total energy, same order as above: -41.52; -38.90; -21.06; -25.08; -19.41; -37.74; -9.12; -108.24; -14.42; -108.06; -24.67; -38.44; -38.59; -36.52; -33.39; -47.09; -22.09; -9.07; -24.18; -22.04 eV/f.u.